1.
A plane-wave DFT calculation with GGA-PBE was carried out for a geometry-optimized SiTe2Ir2 structure.

a = 6.139 Å, b = 6.139 Å, c = 5.489 Å
α = 90.00°, β = 90.00°, γ = 90.00°
Fractional coordinates of all 10 atoms:
Ir: 0.651 0.151 0.000
Ir: 0.349 0.849 0.000
Si: 0.500 0.500 0.000
Ir: 0.849 0.651 0.000
Te: 0.171 0.329 0.500
Te: 0.329 0.829 0.500
Ir: 0.151 0.349 0.000
Si: 0.000 0.000 0.000
Te: 0.671 0.171 0.500
Te: 0.829 0.671 0.500

Summary:
- volume (Å³ per cell) = 207
- energy relative to the elements, uncorrected (eV per atom) = 0.013
- energy relative to the lowest polymorph listed for this composition (meV/atom) = 0
- space-group type = P4/mbm, No. 127


2.
A plane-wave DFT calculation with GGA-PBE was carried out for a geometry-optimized Na2SmHf2Te6 structure.

a = 7.284 Å, b = 7.284 Å, c = 8.094 Å
α = 98.22°, β = 98.22°, γ = 120.43°
Fractional coordinates of all 11 atoms:
Na: 0.157 0.843 0.000
Hf: 0.668 0.332 0.500
Te: 0.927 0.574 0.274
Te: 0.073 0.426 0.726
Sm: 0.000 0.000 0.500
Te: 0.287 0.287 0.275
Na: 0.843 0.157 0.000
Hf: 0.332 0.668 0.500
Te: 0.713 0.713 0.725
Te: 0.426 0.073 0.726
Te: 0.574 0.927 0.274

Summary:
- volume (Å³ per cell) = 355
- energy relative to the elements, uncorrected (eV per atom) = -0.994
- space-group type = C2/m, No. 12


3.
A plane-wave DFT calculation with GGA-PBE was carried out for a geometry-optimized Li3Er2HfS6 structure.

a = 6.537 Å, b = 6.537 Å, c = 6.547 Å
α = 99.59°, β = 99.59°, γ = 120.00°
Fractional coordinates of all 12 atoms:
Li: 0.500 0.500 0.500
Li: 0.837 0.163 0.500
S: 0.403 0.084 0.250
Er: 0.667 0.333 0.000
S: 0.597 0.916 0.750
Li: 0.163 0.837 0.500
S: 0.237 0.237 0.753
S: 0.763 0.763 0.247
Hf: 0.000 0.000 0.000
S: 0.084 0.403 0.250
S: 0.916 0.597 0.750
Er: 0.333 0.667 0.000

Summary:
- volume (Å³ per cell) = 228
- energy relative to the elements, uncorrected (eV per atom) = -1.718
- space-group type = C2/m, No. 12


Number 1: size of the total moment 0.00 μB/cell. Number 2: size of the total moment 0.00 μB/cell. Number 3: size of the total moment 0.00 μB/cell.